The following is a DFT calculation (PBE) of an optimized crystal structure of BMoPd2.

Lattice parameters (Å, degrees): 5.980 5.980 5.980 90.00 90.00 90.00
Space group F-43m (No. 216)
Inequivalent atoms, fractional coordinates:
B 0.000 0.000 0.000 x4
Mo 0.250 0.250 0.250 x4
Pd 0.000 0.000 0.500 x4
Pd 0.250 0.250 0.750 x4

- calculated density (g cm⁻³) = 9.927
- crystal system = cubic

=====

The following is a DFT calculation (PBE) of an optimized crystal structure of LuSnPtC.

Lattice parameters (Å, degrees): 4.1766 4.1766 10.2729 90.00 90.00 120.00
Space group P-6m2 (No. 187)
Inequivalent atoms, fractional coordinates:
Lu 0.0000 0.0000 0.0000 x1
Lu 0.3333 0.6667 0.5000 x1
Sn 0.6667 0.3333 0.2333 x2
Pt 0.0000 0.0000 0.3584 x2
C 0.3333 0.6667 0.0636 x2

- excess energy over the best structure of this formula in the dataset (eV per atom) = 0.000
- calculated density (g cm⁻³) = 10.716
- crystal system = hexagonal

=====

no.,E (Ha/atom)
1,-0.241
2,-0.228